# PBE-GGA SbSe3N2Cl7, optimized geometry
data_SbSe3N2Cl7
_cell_length_a 7.3643
_cell_length_b 7.4838
_cell_length_c 16.0288
_cell_angle_alpha 83.65
_cell_angle_beta 89.65
_cell_angle_gamma 68.25
_symmetry_space_group_name_H-M 'P 1'
_symmetry_Int_Tables_number 1
loop_
_symmetry_equiv_pos_as_xyz
'x,y,z'
loop_
_atom_site_label
_atom_site_type_symbol
_atom_site_fract_x
_atom_site_fract_y
_atom_site_fract_z
Sb1 Sb 0.0000 0.0000 0.0000
Sb2 Sb 0.0872 0.0102 0.5050
Se1 Se 0.2854 0.4002 0.1747
Se2 Se 0.4059 0.5437 0.3302
Se3 Se 0.5824 0.6135 0.8594
Se4 Se 0.5908 0.1906 0.3189
Se5 Se 0.6736 0.7913 0.6896
Se6 Se 0.7633 0.3694 0.7640
N1 N 0.2389 0.5750 0.2487
N2 N 0.4730 0.1963 0.2236
N3 N 0.5641 0.8128 0.7866
N4 N 0.8054 0.5361 0.6892
Cl1 Cl 0.0326 0.8460 0.8732
Cl2 Cl 0.0493 0.9824 0.6556
Cl3 Cl 0.1002 0.2461 0.9260
Cl4 Cl 0.1249 0.0342 0.3546
Cl5 Cl 0.2460 0.2332 0.5182
Cl6 Cl 0.3362 0.8067 0.0404
Cl7 Cl 0.3984 0.7418 0.5242
Cl8 Cl 0.4998 0.3141 0.7147
Cl9 Cl 0.6421 0.6521 0.2794
Cl10 Cl 0.6590 0.1962 0.9565
Cl11 Cl 0.7713 0.2778 0.4861
Cl12 Cl 0.8911 0.7599 0.0714
Cl13 Cl 0.9233 0.7895 0.4924
Cl14 Cl 0.9610 0.1603 0.1245
# Final energy = -92.79 eV per cell
# Energy relative to the elements, uncorrected = -0.17 eV per atom